# Pm4DyY3 PBE-GGA optimized geometry
data_Pm4DyY3
_cell_length_a 6.341
_cell_length_b 7.345
_cell_length_c 11.553
_cell_angle_alpha 90.00
_cell_angle_beta 90.00
_cell_angle_gamma 90.00
_symmetry_space_group_name_H-M 'P 1'
_symmetry_Int_Tables_number 1
_symmetry_space_group_name_Hall 'P 1'
loop_
_atom_site_label
_atom_site_fract_x
_atom_site_fract_y
_atom_site_fract_z
Pm1 0.981 0.126 0.751
Y1 0.981 0.623 0.750
Pm2 0.150 0.874 0.000
Pm3 0.650 0.126 0.500
Dy1 0.646 0.624 0.500
Y2 0.481 0.377 0.250
Pm4 0.649 0.126 0.000
Pm5 0.481 0.874 0.749
Y3 0.146 0.377 0.500
Pm6 0.149 0.874 0.500
Dy2 0.146 0.376 0.000
Y4 0.646 0.623 0.000
Pm7 0.981 0.126 0.249
Y5 0.481 0.377 0.750
Y6 0.981 0.623 0.250
Pm8 0.481 0.874 0.251
# Distance to the lowest polymorph of the same formula in meV/atom: 0
# Spin magnetization in Bohr magnetons per cell: 0.000
# SG: Pmn2_1 (31)
# Uncorrected energy in eV per atom: -5.354
# Fermi-level density of states in states/eV per cell: 30.18
# ΔE_f in eV/atom: 0.021